1.
Below is a relaxed Nd6Sm12Er crystal, with properties calculated at the PBE level.

Values from the calculation:
Energy of formation (meV per atom): 312

CIF file:
```
data_Nd6Sm12Er
_chemical_formula_sum 'Nd18 Sm36 Er3'
_symmetry_space_group_name_H-M 'R -3 m'
_symmetry_Int_Tables_number 166
_symmetry_space_group_name_Hall '-R 3 2"'
_cell_length_a 16.5719
_cell_length_b 16.5719
_cell_length_c 8.4391
_cell_angle_alpha 90.00
_cell_angle_beta 90.00
_cell_angle_gamma 120.00
loop_
_atom_site_label
_atom_site_type_symbol
_atom_site_fract_x
_atom_site_fract_y
_atom_site_fract_z
Nd1 Nd 0.0854 0.1708 0.1459
Sm1 Sm 0.0000 0.3799 0.0000
Sm2 Sm 0.0942 0.5471 0.3114
Er1 Er 0.0000 0.0000 0.5000
```

=====

2.
Below is a relaxed BeAgI2O crystal, with properties calculated at the PBE level.

Values from the calculation:
Raw formation energy (kcal/mol of atoms): -14.71

CIF file:
```
data_BeAgI2O
_chemical_formula_sum 'Be1 Ag1 I2 O1'
_symmetry_space_group_name_H-M 'P 4/m m m'
_symmetry_Int_Tables_number 123
_symmetry_space_group_name_Hall '-P 4 2'
_cell_length_a 6.2762
_cell_length_b 6.2762
_cell_length_c 2.9710
_cell_angle_alpha 90.00
_cell_angle_beta 90.00
_cell_angle_gamma 90.00
loop_
_atom_site_label
_atom_site_type_symbol
_atom_site_fract_x
_atom_site_fract_y
_atom_site_fract_z
Be1 Be 0.0000 0.0000 0.0000
Ag1 Ag 0.5000 0.5000 0.5000
I1 I 0.0000 0.5000 0.0000
O1 O 0.0000 0.0000 0.5000
```

=====

3.
Below is a relaxed LaHfN2F crystal, with properties calculated at the PBE level.

Values from the calculation:
Raw formation energy (kcal/mol of atoms): -44.15

CIF file:
```
data_LaHfN2F
_chemical_formula_sum 'La1 Hf1 N2 F1'
_symmetry_space_group_name_H-M 'P 4/m m m'
_symmetry_Int_Tables_number 123
_symmetry_space_group_name_Hall '-P 4 2'
_cell_length_a 4.2846
_cell_length_b 4.2846
_cell_length_c 4.0285
_cell_angle_alpha 90.00
_cell_angle_beta 90.00
_cell_angle_gamma 90.00
loop_
_atom_site_label
_atom_site_type_symbol
_atom_site_fract_x
_atom_site_fract_y
_atom_site_fract_z
La1 La 0.0000 0.0000 0.0000
Hf1 Hf 0.5000 0.5000 0.5000
N1 N 0.0000 0.5000 0.5000
F1 F 0.5000 0.5000 0.0000
```